Entry 1:
This record from Alexandria via LeMat-Bulk describes Eu2ErLu after structural relaxation. The functional is GGA-PBE.

```
Eu2ErLu
1.0
-1.574 -1.138 -3.592
-2.605 -2.484 1.928
-5.483 6.111 0.467
Eu Lu Er
2 1 1
direct
0.000 0.000 0.754 Eu
0.000 0.000 0.246 Eu
0.500 0.500 0.000 Lu
0.500 0.500 0.500 Er
```

Computed properties:
E_tot = -7.23 eV/atom
Total moment = 3.706 μB/atom
SG = No. 123
ΔE_f = 0.18 eV/atom
Mass density = 7.8 Mg/m³

---

Entry 2:
This record from Alexandria via LeMat-Bulk describes EuErLu2 after structural relaxation. The functional is GGA-PBE.

```
EuErLu2
1.0
-0.575 -0.094 -3.838
1.713 -5.460 -0.123
-5.395 -1.712 0.851
Eu Lu Er
1 2 1
direct
0.500 0.500 0.500 Eu
0.000 0.000 0.500 Lu
0.000 0.500 0.000 Lu
0.500 0.000 0.000 Er
```

Computed properties:
E_tot = -5.81 eV/atom
Total moment = 1.844 μB/atom
SG = No. 123
ΔE_f = 0.16 eV/atom
Mass density = 8.7 Mg/m³

---

Entry 3:
This record from Alexandria via LeMat-Bulk describes EuErLu2 after structural relaxation. The functional is GGA-PBE.

```
EuErLu2
1.0
3.541 0.000 0.000
0.000 3.541 0.000
0.000 0.000 10.191
Eu Lu Er
1 2 1
direct
0.500 0.500 0.500 Eu
0.000 0.000 0.767 Lu
0.000 0.000 0.233 Lu
0.500 0.500 0.000 Er
```

Computed properties:
E_tot = -5.89 eV/atom
Total moment = 1.925 μB/atom
SG = No. 123
ΔE_f = 0.08 eV/atom
Mass density = 8.7 Mg/m³

---

Entry 4:
This record from Alexandria via LeMat-Bulk describes EuErLu2 after structural relaxation. The functional is GGA-PBE.

```
EuErLu2
1.0
5.642 0.000 0.000
2.821 4.886 0.000
2.821 1.629 4.607
Eu Lu Er
1 2 1
direct
0.000 0.000 0.000 Eu
0.250 0.250 0.250 Lu
0.750 0.750 0.750 Lu
0.500 0.500 0.500 Er
```

Computed properties:
E_tot = -5.81 eV/atom
Total moment = 1.804 μB/atom
SG = No. 225
ΔE_f = 0.16 eV/atom
Mass density = 8.7 Mg/m³

---

Look up the E_tot of the first one.
-7.23 eV/atom